Entry 1:
{
  "formula": "TbNd12In6",
  "functional": "PBE",
  "state": "optimized geometry",
  "lattice": [[-3.5449, 1.6415, -7.4250], [-0.5843, -8.2000, -1.6763], [-7.6451, -0.2883, 3.4439]],
  "species": ["Nd", "Nd", "Nd", "Nd", "Nd", "Nd", "Nd", "Nd", "Nd", "Nd", "Nd", "Nd", "In", "In", "In", "In", "In", "In", "Tb"],
  "fractional_positions": [[0.3832, 0.0727, 0.1239], [0.0727, 0.1239, 0.3832], [0.4729, 0.5655, 0.1914], [0.1239, 0.3832, 0.0727], [0.5271, 0.4345, 0.8086], [0.8086, 0.5271, 0.4345], [0.5655, 0.1914, 0.4729], [0.1914, 0.4729, 0.5655], [0.4345, 0.8086, 0.5271], [0.6168, 0.9273, 0.8761], [0.8761, 0.6168, 0.9273], [0.9273, 0.8761, 0.6168], [0.7281, 0.8785, 0.2566], [0.8785, 0.2566, 0.7281], [0.2719, 0.1215, 0.7434], [0.1215, 0.7434, 0.2719], [0.2566, 0.7281, 0.8785], [0.7434, 0.2719, 0.1215], [0.0000, 0.0000, 0.0000]],
  "total_magnetization_mub_per_cell": 0.00,
  "energy_ev_per_atom": -4.36,
  "dos_at_fermi_per_ev_atom": 1.012,
  "formation_energy_mev_per_atom": -238,
  "space_group": "R-3, No. 148"
}

=====

Entry 2:
{
  "formula": "Tb5Nd8In",
  "functional": "PBE",
  "state": "optimized geometry",
  "lattice": [[-7.1233, -0.7399, 5.1627], [2.1426, -6.6559, -4.5981], [7.3162, -0.2333, 3.9951]],
  "species": ["Nd", "Nd", "Nd", "Nd", "Nd", "Nd", "Nd", "Nd", "Tb", "Tb", "Tb", "Tb", "Tb", "In"],
  "fractional_positions": [[0.1670, 0.4258, 0.3728], [0.7479, 0.5023, 0.0975], [0.5227, 0.6867, 0.2550], [0.0514, 0.7040, 0.8844], [0.5021, 0.9946, 0.9233], [0.5411, 0.3471, 0.6116], [0.0682, 0.0365, 0.6195], [0.7533, 0.2109, 0.4182], [0.9113, 0.9678, 0.1548], [0.9337, 0.2646, 0.8910], [0.3145, 0.1856, 0.1101], [0.2822, 0.8773, 0.3976], [0.6437, 0.7944, 0.7016], [0.3110, 0.5024, 0.8127]],
  "total_magnetization_mub_per_cell": 0.00,
  "energy_ev_per_atom": -4.52,
  "dos_at_fermi_per_ev_atom": 1.318,
  "formation_energy_mev_per_atom": 56,
  "space_group": "P1, No. 1"
}

=====

Entry 3:
{
  "formula": "Tb9NdIn2",
  "functional": "PBE",
  "state": "optimized geometry",
  "lattice": [[4.8936, 0.0000, 0.0000], [0.0000, 4.8936, 0.0000], [0.0000, 0.0000, 15.0763]],
  "species": ["In", "In", "Tb", "Tb", "Tb", "Tb", "Tb", "Tb", "Tb", "Tb", "Tb", "Nd"],
  "fractional_positions": [[0.0000, 0.0000, 0.3394], [0.0000, 0.0000, 0.6606], [0.5000, 0.0000, 0.5000], [0.0000, 0.5000, 0.1751], [0.5000, 0.5000, 0.0000], [0.0000, 0.5000, 0.5000], [0.5000, 0.0000, 0.1751], [0.5000, 0.5000, 0.6609], [0.5000, 0.5000, 0.3391], [0.5000, 0.0000, 0.8249], [0.0000, 0.5000, 0.8249], [0.0000, 0.0000, 0.0000]],
  "total_magnetization_mub_per_cell": 0.00,
  "energy_ev_per_atom": -4.49,
  "dos_at_fermi_per_ev_atom": 1.231,
  "formation_energy_mev_per_atom": -163,
  "space_group": "P4/mmm, No. 123"
}

=====

Entry 4:
{
  "formula": "Tb2Nd5In4",
  "functional": "PBE",
  "state": "optimized geometry",
  "lattice": [[-1.5750, 2.7630, 1.4102], [0.9534, -3.5611, 8.0420], [13.2088, 7.0325, -3.3178]],
  "species": ["Nd", "Nd", "Nd", "Nd", "Nd", "In", "In", "In", "In", "Tb", "Tb"],
  "fractional_positions": [[0.5000, 0.0000, 0.0000], [0.1993, 0.9998, 0.3985], [0.8007, 0.6013, 0.6015], [0.8007, 0.0002, 0.6015], [0.1993, 0.3987, 0.3985], [0.3007, 0.3007, 0.6013], [0.0000, 0.3258, 0.0000], [0.0000, 0.6742, 0.0000], [0.6993, 0.6993, 0.3987], [0.9042, 0.9042, 0.8083], [0.0958, 0.0958, 0.1917]],
  "total_magnetization_mub_per_cell": 0.00,
  "relative_energy_mev_per_atom": 608,
  "energy_ev_per_atom": -3.69,
  "dos_at_fermi_per_ev_atom": 1.446,
  "formation_energy_mev_per_atom": 316,
  "space_group": "Immm, No. 71"
}

=====

Entry 5:
{
  "formula": "Tb6NdIn2",
  "functional": "PBE",
  "state": "optimized geometry",
  "lattice": [[-2.1302, 2.1344, -4.7780], [-4.2285, -3.7412, 0.2139], [-2.6205, 7.6822, 7.9407]],
  "species": ["In", "In", "Tb", "Tb", "Tb", "Tb", "Tb", "Tb", "Nd"],
  "fractional_positions": [[0.1894, 0.1894, 0.3788], [0.8106, 0.8106, 0.6212], [0.8715, 0.2624, 0.1339], [0.2500, 0.7500, 0.5000], [0.7500, 0.2500, 0.5000], [0.7376, 0.7376, 0.8661], [0.1285, 0.1285, 0.8661], [0.2624, 0.8715, 0.1339], [0.5000, 0.5000, 0.0000]],
  "total_magnetization_mub_per_cell": 0.00,
  "relative_energy_mev_per_atom": 705,
  "energy_ev_per_atom": -3.71,
  "dos_at_fermi_per_ev_atom": 1.297,
  "formation_energy_mev_per_atom": 512,
  "space_group": "I-42m, No. 121"
}

=====

Entry 6:
{
  "formula": "Tb2Nd15In2",
  "functional": "PBE",
  "state": "optimized geometry",
  "lattice": [[-4.9551, 2.1957, 6.9163], [3.4331, -5.2150, 6.1828], [5.3425, 5.6410, 4.1045]],
  "species": ["Nd", "Nd", "Nd", "Nd", "Nd", "Nd", "Nd", "Nd", "Nd", "Nd", "Nd", "Nd", "Nd", "Nd", "Nd", "In", "In", "Tb", "Tb"],
  "fractional_positions": [[0.3766, 0.8404, 0.3766], [0.6234, 0.1596, 0.6234], [0.6234, 0.6234, 0.1596], [0.7084, 0.0000, 0.2916], [0.8404, 0.3766, 0.3766], [0.3766, 0.3766, 0.8404], [0.2916, 0.0000, 0.7084], [0.1596, 0.6234, 0.6234], [0.0000, 0.5000, 0.0000], [0.2916, 0.7084, 0.0000], [0.7084, 0.2916, 0.0000], [0.5000, 0.0000, 0.0000], [0.0000, 0.7084, 0.2916], [0.0000, 0.2916, 0.7084], [0.0000, 0.0000, 0.5000], [0.9053, 0.9053, 0.9053], [0.0947, 0.0947, 0.0947], [0.3084, 0.3084, 0.3084], [0.6916, 0.6916, 0.6916]],
  "total_magnetization_mub_per_cell": 0.00,
  "energy_ev_per_atom": -4.40,
  "dos_at_fermi_per_ev_atom": 1.350,
  "formation_energy_mev_per_atom": 135,
  "space_group": "R-3m, No. 166"
}

=====

Entry 7:
{
  "formula": "TbNd5In4",
  "functional": "PBE",
  "state": "optimized geometry",
  "lattice": [[-3.1171, 8.0064, 1.7571], [-6.9802, -1.7723, -4.3070], [-3.9355, -3.2230, 7.7044]],
  "species": ["In", "In", "In", "In", "In", "In", "In", "In", "Tb", "Tb", "Nd", "Nd", "Nd", "Nd", "Nd", "Nd", "Nd", "Nd", "Nd", "Nd"],
  "fractional_positions": [[0.5632, 0.1614, 0.0000], [0.0081, 0.0000, 0.3396], [0.9919, 0.5000, 0.8396], [0.4368, 0.3386, 0.5000], [0.5632, 0.8386, 0.0000], [0.9919, 0.5000, 0.1604], [0.4368, 0.6614, 0.5000], [0.0081, 0.0000, 0.6604], [0.9168, 0.0000, 0.0000], [0.0832, 0.5000, 0.5000], [0.2666, 0.7554, 0.8048], [0.7334, 0.7446, 0.6952], [0.2666, 0.2446, 0.1952], [0.2666, 0.7554, 0.1952], [0.7334, 0.7446, 0.3048], [0.7334, 0.2554, 0.3048], [0.2666, 0.2446, 0.8048], [0.6573, 0.5000, 0.0000], [0.7334, 0.2554, 0.6952], [0.3427, 0.0000, 0.5000]],
  "total_magnetization_mub_per_cell": 0.00,
  "relative_energy_mev_per_atom": 257,
  "energy_ev_per_atom": -4.06,
  "dos_at_fermi_per_ev_atom": 0.991,
  "formation_energy_mev_per_atom": -118,
  "space_group": "Pmmn, No. 59"
}

=====

Entry 8:
{
  "formula": "Tb7NdIn2",
  "functional": "PBE",
  "state": "optimized geometry",
  "lattice": [[-3.7404, 4.0832, -0.3745], [-6.5366, -5.8307, 1.7139], [3.8541, 4.1626, 6.8907]],
  "species": ["Tb", "Tb", "Tb", "Tb", "Tb", "Tb", "Tb", "Nd", "In", "In"],
  "fractional_positions": [[0.0000, 0.7669, 0.2331], [0.5000, 0.9418, 0.6969], [0.5000, 0.3031, 0.0582], [0.5000, 0.5000, 0.5000], [0.5000, 0.6969, 0.9418], [0.0000, 0.2331, 0.7669], [0.5000, 0.0582, 0.3031], [0.0000, 0.0000, 0.0000], [0.5000, 0.6971, 0.3029], [0.5000, 0.3029, 0.6971]],
  "total_magnetization_mub_per_cell": 2.28,
  "energy_ev_per_atom": -3.93,
  "dos_at_fermi_per_ev_atom": 1.994,
  "formation_energy_mev_per_atom": 340,
  "space_group": "Cmmm, No. 65"
}

=====

Entry 9:
{
  "formula": "Tb3Nd3In",
  "functional": "PBE",
  "state": "optimized geometry",
  "lattice": [[-0.8701, -5.1761, -0.1452], [0.5883, 0.2806, -13.5294], [12.6628, -2.1429, 0.5062]],
  "species": ["Tb", "Tb", "Tb", "Tb", "Tb", "Tb", "Tb", "Tb", "Tb", "Tb", "Tb", "Tb", "Nd", "Nd", "Nd", "Nd", "Nd", "Nd", "Nd", "Nd", "Nd", "Nd", "Nd", "Nd", "In", "In", "In", "In"],
  "fractional_positions": [[0.7500, 0.9818, 0.9328], [0.7500, 0.4449, 0.0705], [0.2500, 0.5551, 0.9295], [0.7500, 0.4818, 0.5672], [0.2500, 0.5182, 0.4328], [0.7500, 0.9449, 0.4295], [0.7500, 0.7274, 0.0647], [0.2500, 0.2726, 0.9353], [0.2500, 0.0551, 0.5705], [0.2500, 0.7726, 0.5647], [0.2500, 0.0182, 0.0672], [0.7500, 0.2274, 0.4353], [0.7500, 0.6781, 0.7739], [0.2500, 0.3219, 0.2261], [0.2500, 0.8120, 0.8840], [0.7500, 0.1880, 0.1160], [0.7500, 0.9115, 0.6917], [0.2500, 0.8219, 0.2739], [0.2500, 0.0885, 0.3083], [0.7500, 0.1781, 0.7261], [0.2500, 0.3120, 0.6160], [0.7500, 0.4115, 0.8083], [0.7500, 0.6880, 0.3840], [0.2500, 0.5885, 0.1917], [0.2500, 0.0514, 0.8160], [0.2500, 0.5514, 0.6840], [0.7500, 0.4486, 0.3160], [0.7500, 0.9486, 0.1840]],
  "total_magnetization_mub_per_cell": 0.00,
  "relative_energy_mev_per_atom": 84,
  "energy_ev_per_atom": -4.45,
  "dos_at_fermi_per_ev_atom": 1.448,
  "formation_energy_mev_per_atom": -26,
  "space_group": "Pnma, No. 62"
}